1.
K2Pu3S6 | the Alexandria database | PBE | optimized geometry; space group = No. 12; spin magnetization = 14.0 μB/cell; formation energy without anion corrections = -1693 kJ/mol of formula units
1.0
6.727 0.000 2.001
3.364 6.077 1.001
0.113 0.000 7.807
K Pu S
2 3 6
direct
0.167 0.666 0.500
0.833 0.334 0.500
0.000 0.000 0.000
0.334 0.332 0.000
0.666 0.668 0.000
0.397 0.664 0.809
0.733 0.000 0.808
0.061 0.336 0.809
0.267 0.000 0.192
0.603 0.336 0.191
0.939 0.664 0.191

***

2.
K2PuSbS4 | the Alexandria database | PBE | optimized geometry; space group = No. 10; spin magnetization = 5.0 μB/cell; formation energy without anion corrections = -872 kJ/mol of formula units
1.0
-0.694 -3.210 2.459
-0.405 -4.294 -5.719
7.337 0.175 2.300
K Pu Sb S
2 1 1 4
direct
0.500 0.000 0.500
0.000 0.500 0.500
0.500 0.500 0.000
0.000 0.000 0.000
0.500 0.235 0.204
0.500 0.765 0.796
0.000 0.268 0.799
0.000 0.732 0.201

***

3.
K2PuSbS5 | the Alexandria database | PBE | optimized geometry; space group = No. 36; spin magnetization = 8.3 μB/cell; formation energy without anion corrections = -817 kJ/mol of formula units
1.0
-1.819 0.528 -3.813
-6.561 -2.400 5.175
-2.568 13.781 3.135
K Pu Sb S
4 2 2 10
direct
0.848 0.696 0.807
0.102 0.204 0.682
0.152 0.304 0.307
0.898 0.796 0.182
0.785 0.570 0.526
0.215 0.430 0.026
0.520 0.039 0.944
0.480 0.961 0.444
0.368 0.736 0.993
0.678 0.357 0.909
0.489 0.977 0.784
0.284 0.568 0.640
0.950 0.901 0.538
0.632 0.264 0.493
0.322 0.643 0.409
0.511 0.023 0.284
0.716 0.432 0.140
0.050 0.099 0.038

***

4.
K2PuSc2S6 | the Alexandria database | PBE | optimized geometry; space group = No. 12; spin magnetization = 4.0 μB/cell; formation energy without anion corrections = -1773 kJ/mol of formula units
1.0
-1.938 5.591 3.077
1.338 -5.493 3.538
7.378 2.114 -1.605
K Pu Sc S
2 1 2 6
direct
0.834 0.166 0.000
0.166 0.834 0.000
0.000 0.000 0.500
0.333 0.667 0.500
0.667 0.333 0.500
0.723 0.723 0.690
0.062 0.404 0.690
0.277 0.277 0.310
0.404 0.062 0.690
0.938 0.596 0.310
0.596 0.938 0.310

***

5.
K4Pu3ScS8 | the Alexandria database | PBE | optimized geometry; space group = No. 166; spin magnetization = 15.0 μB/cell; formation energy without anion corrections = -2501 kJ/mol of formula units
1.0
8.097 0.000 0.000
0.000 8.674 0.391
-4.049 -4.038 5.733
K Pu Sc S
4 3 1 8
direct
0.500 0.000 0.000
0.500 0.000 0.500
0.000 0.000 0.000
0.000 0.000 0.500
0.500 0.500 0.000
0.500 0.500 0.500
0.000 0.500 0.500
0.000 0.500 0.000
0.226 0.697 0.971
0.226 0.697 0.452
0.266 0.299 0.533
0.745 0.697 0.971
0.255 0.303 0.029
0.734 0.701 0.467
0.774 0.303 0.548
0.774 0.303 0.029

***

6.
KPuSc4S8 | the Alexandria database | PBE | optimized geometry; space group = No. 160; spin magnetization = 5.0 μB/cell; formation energy without anion corrections = -2277 kJ/mol of formula units
1.0
7.784 0.000 0.000
3.892 6.741 0.000
3.892 2.247 6.659
K Pu Sc S
1 1 4 8
direct
0.368 0.368 0.897
0.003 0.003 0.990
0.627 0.627 0.120
0.005 0.486 0.504
0.486 0.005 0.504
0.005 0.005 0.504
0.242 0.802 0.714
0.802 0.242 0.714
0.242 0.242 0.714
0.229 0.229 0.312
0.749 0.235 0.266
0.235 0.749 0.266
0.749 0.749 0.266
0.757 0.757 0.730

***

7.
KPuSeS | the Alexandria database | PBE | optimized geometry; space group = No. 160; spin magnetization = 5.0 μB/cell; formation energy without anion corrections = -581 kJ/mol of formula units
1.0
4.166 0.000 0.000
2.083 3.608 0.000
2.083 1.203 7.666
K Pu Se S
1 1 1 1
direct
0.444 0.444 0.668
0.280 0.280 0.161
0.875 0.875 0.375
0.675 0.675 0.975

***

8.
KPuSiS4 | the Alexandria database | PBE | optimized geometry; space group = No. 11; spin magnetization = 10.0 μB/cell; formation energy without anion corrections = -833 kJ/mol of formula units
1.0
-0.418 4.008 -5.113
-6.125 1.600 1.755
3.146 4.682 6.713
K Pu Si S
2 2 2 8
direct
0.730 0.750 0.935
0.270 0.250 0.065
0.770 0.750 0.447
0.230 0.250 0.553
0.220 0.750 0.324
0.780 0.250 0.676
0.997 0.502 0.714
0.003 0.002 0.286
0.003 0.498 0.286
0.997 0.998 0.714
0.414 0.750 0.169
0.586 0.250 0.831
0.411 0.750 0.568
0.589 0.250 0.432